No. 1
# ErLuHfTh

A relaxed ErLuHfTh crystal (PBE, Alexandria via LeMat-Bulk).

The structure in POSCAR format:
```
ErLuHfTh
1.0
0.000 3.832 3.832
3.832 0.000 3.832
3.832 3.832 0.000
Er Lu Hf Th
1 1 1 1
direct
0.000 0.000 0.000 Er
0.750 0.750 0.750 Lu
0.250 0.250 0.250 Hf
0.500 0.500 0.500 Th
```

Properties
Its formation energy is 181 meV/atom. As for the calculated volume: 112.50 Å³/cell. Its calculated total energy is -6.434 eV per atom. Its symmetry is F-43m (216).


No. 2
# TmMn5B3

A relaxed TmMn5B3 crystal (PBE, Alexandria via LeMat-Bulk).

The structure in POSCAR format:
```
TmMn5B3
1.0
1.585 -5.789 0.000
1.585 5.789 0.000
0.000 0.000 10.721
Tm Mn B
2 10 6
direct
0.166 0.834 0.750 Tm
0.834 0.166 0.250 Tm
0.000 0.000 0.000 Mn
0.000 0.000 0.500 Mn
0.194 0.806 0.061 Mn
0.194 0.806 0.439 Mn
0.449 0.551 0.651 Mn
0.449 0.551 0.849 Mn
0.551 0.449 0.151 Mn
0.551 0.449 0.349 Mn
0.806 0.194 0.561 Mn
0.806 0.194 0.939 Mn
0.148 0.852 0.250 B
0.379 0.621 0.050 B
0.379 0.621 0.450 B
0.621 0.379 0.550 B
0.621 0.379 0.950 B
0.852 0.148 0.750 B
```

Properties
Its formation energy is -247 meV/atom. As for the calculated volume: 196.79 Å³/cell. Its calculated total energy is -8.063 eV per atom. Its symmetry is Cmcm (63).


No. 3
# Dy2Er3ThSe6

A relaxed Dy2Er3ThSe6 crystal (PBE, Alexandria via LeMat-Bulk).

The structure in POSCAR format:
```
Dy2Er3ThSe6
1.0
8.922 -2.029 0.000
8.922 2.029 0.000
-1.960 0.000 7.971
Dy Er Th Se
2 3 1 6
direct
0.162 0.162 0.326 Dy
0.838 0.838 0.674 Dy
0.162 0.162 0.834 Er
0.500 0.500 0.500 Er
0.838 0.838 0.166 Er
0.500 0.500 0.000 Th
0.001 0.001 0.736 Se
0.327 0.327 0.916 Se
0.332 0.332 0.415 Se
0.668 0.668 0.585 Se
0.673 0.673 0.084 Se
0.999 0.999 0.264 Se
```

Properties
The calculation puts the formation energy (no corrections) at -20.1 eV per formula unit. As for the calculated volume: 288.65 Å³/cell. Its calculated total energy is -5.946 eV per atom. Its symmetry is C2/m (12).


No. 4
# NaCaInSe3

A relaxed NaCaInSe3 crystal (PBE, Alexandria via LeMat-Bulk).

The structure in POSCAR format:
```
NaCaInSe3
1.0
7.604 0.000 0.000
0.000 4.215 0.000
-2.067 0.000 11.623
Na Ca In Se
2 2 2 6
direct
0.090 0.250 0.255 Na
0.910 0.750 0.745 Na
0.379 0.750 0.603 Ca
0.621 0.250 0.397 Ca
0.480 0.250 0.856 In
0.520 0.750 0.144 In
0.182 0.250 0.711 Se
0.325 0.250 0.064 Se
0.347 0.750 0.357 Se
0.653 0.250 0.643 Se
0.675 0.750 0.936 Se
0.818 0.750 0.289 Se
```

Properties
The calculation puts the formation energy (no corrections) at -6.7 eV per formula unit. As for the calculated volume: 372.49 Å³/cell. Its calculated total energy is -3.873 eV per atom. Its symmetry is P2_1/m (11).


No. 5
# ZnFePd2

A relaxed ZnFePd2 crystal (PBE, Alexandria via LeMat-Bulk).

The structure in POSCAR format:
```
ZnFePd2
1.0
4.047 0.000 0.000
0.000 4.047 0.000
0.000 0.000 3.505
Zn Fe Pd
1 1 2
direct
0.000 0.000 0.000 Zn
0.500 0.500 0.000 Fe
0.000 0.500 0.500 Pd
0.500 0.000 0.500 Pd
```

Properties
Its formation energy is -213 meV/atom. As for the calculated volume: 57.40 Å³/cell. Its calculated total energy is -5.243 eV per atom. Its symmetry is P4/mmm (123).


No. 6
# Pm2PrSc

A relaxed Pm2PrSc crystal (PBE, Alexandria via LeMat-Bulk).

The structure in POSCAR format:
```
Pm2PrSc
1.0
3.609 0.000 0.000
0.000 3.609 0.000
0.000 0.000 9.916
Pm Pr Sc
2 1 1
direct
0.000 0.000 0.233 Pm
0.000 0.000 0.767 Pm
0.500 0.500 0.500 Pr
0.500 0.500 0.000 Sc
```

Properties
Its energy relative to the lowest polymorph listed for this composition is 10.4 meV/atom. Its formation energy is 49 meV/atom. As for the calculated volume: 129.16 Å³/cell. Its calculated total energy is -5.104 eV per atom. Its symmetry is P4/mmm (123).


No. 7
# LiZrCo

A relaxed LiZrCo crystal (PBE, Alexandria via LeMat-Bulk).

The structure in POSCAR format:
```
LiZrCo
1.0
0.000 2.997 2.997
2.997 0.000 2.997
2.997 2.997 0.000
Li Zr Co
1 1 1
direct
0.000 0.000 0.000 Li
0.750 0.750 0.750 Zr
0.500 0.500 0.500 Co
```

Properties
Its energy relative to the lowest polymorph listed for this composition is 669.2 meV/atom. Its formation energy is 638 meV/atom. As for the calculated volume: 53.83 Å³/cell. Its calculated total energy is -5.218 eV per atom. Its symmetry is F-43m (216).


No. 8
# LiAcPuSn

A relaxed LiAcPuSn crystal (PBE, Alexandria via LeMat-Bulk).

The structure in POSCAR format:
```
LiAcPuSn
1.0
0.000 3.822 3.822
3.822 0.000 3.822
3.822 3.822 0.000
Li Ac Pu Sn
1 1 1 1
direct
0.000 0.000 0.000 Li
0.250 0.250 0.250 Ac
0.500 0.500 0.500 Pu
0.750 0.750 0.750 Sn
```

Properties
Its formation energy is -23 meV/atom. As for the calculated volume: 111.63 Å³/cell. Its calculated total energy is -6.112 eV per atom. Its symmetry is F-43m (216).


Which value of calculated total energy does entry 3 give? -5.946 eV per atom


Which formula does entry 5 have? ZnFePd2


Among the records above, which one has the lowest calculated volume? LiZrCo